[1]
# CdC

CdC after structural relaxation (PBE, Alexandria).

## Properties
- formation enthalpy at 0 K (eV/atom) = 0.8632
- offset from the most stable computed form (meV per atom) = 446
- VASP energy (eV/f.u.) = -8.413
- magnetic moment (Bohr magnetons per cell) = 0.000

abc: 3.687 3.734 6.163
angles: 95.93 94.67 115.71
Space group P1 (No. 1)
Symmetry-distinct sites (fractional):
Cd: 0.000 0.000 0.000 [1 per cell]
Cd: 0.075 0.124 0.576 [1 per cell]
C: 0.612 0.351 0.377 [1 per cell]
C: 0.750 0.506 0.210 [1 per cell]

***

[2]
# CdC3

CdC3 after structural relaxation (PBE, Alexandria).

## Properties
- formation enthalpy at 0 K (eV/atom) = 3.5236
- offset from the most stable computed form (meV per atom) = 2916
- VASP energy (eV/f.u.) = -14.492
- magnetic moment (Bohr magnetons per cell) = 0.006

abc: 4.470 4.470 4.470
angles: 90.00 90.00 90.00
Space group Pm-3n (No. 223)
Symmetry-distinct sites (fractional):
Cd: 0.000 0.000 0.000 [2 per cell]
C: 0.000 0.250 0.500 [6 per cell]

***

[3]
# Cd4C

Cd4C after structural relaxation (PBE, Alexandria).

## Properties
- formation enthalpy at 0 K (eV/atom) = 1.2650
- offset from the most stable computed form (meV per atom) = 537
- VASP energy (eV/f.u.) = -6.559
- magnetic moment (Bohr magnetons per cell) = 0.034

abc: 3.828 3.828 15.166
angles: 90.00 90.00 90.00
Space group I4/mmm (No. 139)
Symmetry-distinct sites (fractional):
Cd: 0.000 0.000 0.088 [4 per cell]
Cd: 0.000 0.500 0.250 [4 per cell]
C: 0.000 0.000 0.500 [2 per cell]

***

[4]
# CdC

CdC after structural relaxation (PBE, Alexandria).

## Properties
- formation enthalpy at 0 K (eV/atom) = 1.9766
- offset from the most stable computed form (meV per atom) = 1560
- VASP energy (eV/f.u.) = -6.186
- magnetic moment (Bohr magnetons per cell) = 0.000

abc: 4.855 4.855 4.855
angles: 90.00 90.00 90.00
Space group Fm-3m (No. 225)
Symmetry-distinct sites (fractional):
Cd: 0.000 0.000 0.000 [4 per cell]
C: 0.000 0.000 0.500 [4 per cell]

***

[5]
# Cd3C

Cd3C after structural relaxation (PBE, Alexandria).

## Properties
- formation enthalpy at 0 K (eV/atom) = 0.8433
- offset from the most stable computed form (meV per atom) = 419
- VASP energy (eV/f.u.) = -8.596
- magnetic moment (Bohr magnetons per cell) = 0.000

abc: 5.854 9.721 5.517
angles: 90.00 90.00 90.00
Space group Pnma (No. 62)
Symmetry-distinct sites (fractional):
Cd: 0.112 0.085 0.190 [8 per cell]
Cd: 0.188 0.250 0.711 [4 per cell]
C: 0.096 0.750 0.559 [4 per cell]

***

[6]
# CdC

CdC after structural relaxation (PBE, Alexandria).

## Properties
- formation enthalpy at 0 K (eV/atom) = 0.8003
- offset from the most stable computed form (meV per atom) = 383
- VASP energy (eV/f.u.) = -8.538
- magnetic moment (Bohr magnetons per cell) = 0.000

abc: 10.060 3.817 5.478
angles: 90.00 90.00 90.00
Space group Pmn2_1 (No. 31)
Symmetry-distinct sites (fractional):
Cd: 0.000 0.231 0.000 [2 per cell]
Cd: 0.205 0.249 0.606 [4 per cell]
C: 0.000 0.747 0.391 [2 per cell]
C: 0.132 0.748 0.401 [4 per cell]

***

[7]
# CdC

CdC after structural relaxation (PBE, Alexandria).

## Properties
- formation enthalpy at 0 K (eV/atom) = 2.1384
- offset from the most stable computed form (meV per atom) = 1722
- VASP energy (eV/f.u.) = -5.862
- magnetic moment (Bohr magnetons per cell) = 0.000

abc: 6.353 6.353 6.353
angles: 90.00 90.00 90.00
Space group Pm-3n (No. 223)
Symmetry-distinct sites (fractional):
Cd: 0.000 0.250 0.500 [6 per cell]
C: 0.000 0.500 0.250 [6 per cell]

***

[8]
# Cd3C

Cd3C after structural relaxation (PBE, Alexandria).

## Properties
- formation enthalpy at 0 K (eV/atom) = 1.0258
- offset from the most stable computed form (meV per atom) = 601
- VASP energy (eV/f.u.) = -7.866
- magnetic moment (Bohr magnetons per cell) = 0.222

abc: 3.3450 3.3450 7.9046
angles: 90.00 90.00 120.00
Space group P-6m2 (No. 187)
Symmetry-distinct sites (fractional):
Cd: 0.0000 0.0000 0.0000 [1 per cell]
Cd: 0.6667 0.3333 0.3147 [2 per cell]
C: 0.0000 0.0000 0.5000 [1 per cell]